Record 1
Sm3Er2Sc3 GGA-PBE optimized geometry; energy of formation from the pure elements = 0.051 eV per atom
1.0
4.8032 0.0000 0.0000
0.0000 4.9438 0.0000
-2.4016 -2.4719 9.8715
Sc Er Sm
3 2 3
Cartesian
0.0000 2.4719 0.0000 Sc
2.4016 2.4719 7.4027 Sc
0.0000 0.0000 2.4688 Sc
0.0000 2.4719 4.9696 Er
2.4016 0.0000 4.9019 Er
2.4016 0.0000 0.0000 Sm
2.4016 2.4719 2.4156 Sm
0.0000 0.0000 7.4559 Sm

---

Record 2
SrAcGdY GGA-PBE optimized geometry; energy of formation from the pure elements = 0.187 eV per atom
1.0
-0.5474 -1.1657 5.9362
-2.1060 -5.3868 1.8558
3.7431 -3.9669 2.6740
Gd Y Ac Sr
1 1 1 1
Cartesian
0.8172 -7.8896 7.8495 Gd
0.0000 0.0000 0.0000 Y
0.2724 -2.6299 2.6165 Ac
0.5448 -5.2597 5.2330 Sr

---

Record 3
TbTmZr GGA-PBE optimized geometry; energy of formation from the pure elements = 0.121 eV per atom
1.0
4.9603 -0.0001 0.0026
0.0000 3.3392 0.0042
-0.0052 -1.6528 10.0318
Zr Tb Tm
2 2 2
Cartesian
4.1944 0.9789 9.9052 Zr
1.7149 -0.6874 8.3956 Zr
4.1998 2.6263 3.1713 Tb
1.7185 -0.6822 5.0976 Tb
4.1978 0.9821 6.7595 Tm
1.7205 0.9618 1.5094 Tm

---

Record 4
BeBrCl GGA-PBE optimized geometry; ΔE_f (raw) = -853 meV per atom
1.0
8.3976 -0.2503 0.1144
6.1043 3.9417 -0.0509
2.2933 -2.8692 3.0608
Br Be Cl
1 1 1
Cartesian
7.0644 -0.3053 1.8894 Br
2.3466 -2.8406 3.0477 Be
9.6774 1.0988 1.2479 Cl

---

Record 5
AcHgH GGA-PBE optimized geometry; total DFT energy (no corrections) = -2.730 eV/atom
1.0
3.7398 0.0000 0.0000
0.0000 3.7398 0.0000
-1.8699 -1.8699 5.4512
H Hg Ac
1 1 1
Cartesian
0.0000 0.0000 2.7427 H
0.0000 0.0000 0.2360 Hg
1.8699 1.8699 2.4725 Ac

---

Record 6
YCoRuAu2 GGA-PBE optimized geometry; energy of formation from the pure elements = 0.485 eV per atom
1.0
-1.8007 0.0004 -4.7234
-3.0940 -2.8018 1.1793
-3.0510 3.8588 1.1634
Au Ru Y Co
2 1 1 1
Cartesian
-1.5255 1.9294 0.5817 Au
-0.9003 0.0002 -2.3617 Au
0.0000 0.0000 0.0000 Ru
-3.9728 0.5287 -1.1903 Y
-1.5470 -1.4009 0.5896 Co

---

Record 7
SmErCu2 GGA-PBE optimized geometry; energy of formation from the pure elements = -0.231 eV per atom
1.0
-1.4982 0.9517 2.9882
-0.8595 -3.3095 0.6231
6.0953 -0.9507 3.3587
Sm Er Cu
1 1 2
Cartesian
1.8688 -1.6543 3.4850 Sm
-1.1789 -1.1789 1.8056 Er
4.6826 -0.7304 2.5803 Cu
1.4126 -0.2203 0.7784 Cu

---

Record 8
TcOsAu GGA-PBE optimized geometry; energy of formation from the pure elements = 0.316 eV per atom
1.0
4.8996 -0.0096 0.0026
2.5983 4.1539 -0.0026
-3.4173 -2.6722 2.2777
Au Tc Os
1 1 1
Cartesian
0.0002 0.0001 0.0000 Au
5.0933 2.8152 0.0000 Tc
2.4045 1.3290 0.0000 Os

---

Record 9
BaY2MoRh GGA-PBE optimized geometry; energy of formation from the pure elements = 0.287 eV per atom
1.0
5.4882 0.0000 0.0000
0.0000 4.9967 0.0000
0.0000 0.0000 5.4882
Ba Y Rh Mo
1 2 1 1
Cartesian
2.7441 2.4983 2.7441 Ba
2.7441 0.0000 0.0000 Y
0.0000 0.0000 2.7441 Y
0.0000 0.0000 0.0000 Rh
0.0000 2.4983 0.0000 Mo

---

Record 10
RbTl4Cd2Pb GGA-PBE optimized geometry; energy of formation from the pure elements = -0.020 eV per atom
1.0
-4.6475 2.6638 0.7562
-4.0516 -2.3450 2.7114
0.8735 4.1066 10.2538
Rb Cd Tl Pb
1 2 4 1
Cartesian
0.0000 0.0000 0.0000 Rb
-5.9990 3.1814 9.9780 Cd
-1.8266 1.2440 3.7433 Cd
-2.7893 3.4038 9.5696 Tl
-0.5654 2.5811 6.7844 Tl
-5.0363 1.0215 4.1517 Tl
-7.2602 1.8442 6.9370 Tl
-3.9128 2.2127 6.8607 Pb

---

Record 11
Li3Au13 GGA-PBE optimized geometry; energy of formation from the pure elements = -0.236 eV per atom
1.0
-5.3822 1.9557 -0.8338
-1.5468 -5.2338 -1.9242
-2.0067 -2.2385 7.7020
Au Li
13 3
Cartesian
-1.6110 -0.8137 -0.6562 Au
-2.4769 -3.4903 -1.6598 Au
-4.9921 -3.3087 4.4432 Au
-5.4595 -0.8994 2.7539 Au
-6.2398 -3.5754 1.7728 Au
-3.9666 -2.1648 0.5073 Au
-7.6377 -2.3219 4.0293 Au
-3.2265 0.4205 1.4629 Au
-4.2468 -0.7177 5.3790 Au
-5.2741 -2.5467 -2.1143 Au
-3.4918 -4.5879 2.1945 Au
-6.6174 -1.1838 0.1132 Au
-2.7139 -1.9073 3.1763 Au
-2.0799 -5.7676 0.0494 Li
-4.3770 0.0715 -1.1196 Li
-3.0611 -6.8623 3.8157 Li

---

Record 12
RbDyBi2 GGA-PBE optimized geometry; energy of formation from the pure elements = -0.499 eV per atom
1.0
3.7238 0.0000 0.0000
0.0000 3.7238 0.0000
0.0000 0.0000 9.8971
Bi Dy Rb
2 1 1
Cartesian
0.0000 0.0000 7.7828 Bi
0.0000 0.0000 2.1143 Bi
1.8619 1.8619 0.0000 Dy
1.8619 1.8619 4.9485 Rb

---

Record 13
Be2ReOs GGA-PBE optimized geometry; energy of formation from the pure elements = 0.127 eV per atom
1.0
2.6188 -0.0074 0.0000
-0.9695 2.4328 0.0000
0.0000 0.0000 7.5888
Os Re Be
1 1 2
Cartesian
0.8247 1.2127 1.8972 Os
0.8247 1.2127 5.6916 Re
0.0000 0.0000 3.7557 Be
0.0000 0.0000 0.0386 Be

---

Record 14
Y3PSe2 GGA-PBE optimized geometry; ΔE_f (raw) = -1798 meV per atom
1.0
4.0359 0.0000 0.0000
0.0000 5.7172 0.0000
-2.0179 -2.8586 6.1812
Se P Y
2 1 3
Cartesian
3.0269 4.2879 0.9811 Se
-1.0090 -1.4293 5.2001 Se
1.0090 1.4293 3.0906 P
-1.0090 1.4293 4.9669 Y
1.0090 -1.4293 3.0906 Y
3.0269 1.4293 1.2143 Y

---

Record 15
Pr2CoRu GGA-PBE optimized geometry; energy of formation from the pure elements = -0.085 eV per atom
1.0
-1.9902 3.5429 -0.7281
-5.0383 -2.6447 0.9022
3.2497 3.3212 7.2786
Pr Co Ru
4 2 2
Cartesian
0.4679 5.1787 6.3648 Pr
-2.6223 0.6903 4.6749 Pr
-1.1564 3.5291 2.7779 Pr
-4.2466 -0.9593 1.0879 Pr
-1.7411 0.5886 1.7713 Co
-2.0377 3.6308 5.6814 Co
-3.6417 1.9715 1.9913 Ru
-0.1371 2.2480 5.4614 Ru

---

Record 16
Pr4SiBi GGA-PBE optimized geometry; ΔE_f (raw) = -407 meV per atom
1.0
6.2266 0.0000 0.0000
0.0000 7.9165 0.5038
-3.1133 -2.7587 7.7995
Bi Pr Si
2 8 2
Cartesian
5.4770 5.9373 0.3779 Bi
0.7496 1.9791 0.1260 Bi
0.6758 4.1234 2.9804 Pr
0.6613 -1.9459 6.5617 Pr
-0.6613 2.0124 6.8136 Pr
3.7891 4.9926 5.5748 Pr
-0.6758 0.1651 2.7285 Pr
3.7745 3.1454 1.4897 Pr
2.4375 1.0344 5.3229 Pr
2.4520 7.1036 1.7416 Pr
1.5566 -1.3794 3.8997 Si
-1.5566 2.5789 4.1516 Si

---

Record 17
La2AsPt GGA-PBE optimized geometry; energy of formation from the pure elements = -1.093 eV per atom
1.0
6.4171 -0.0058 -0.0018
3.6400 5.2848 0.0018
-4.9051 -2.8747 2.9758
As Pt La
1 1 2
Cartesian
2.2936 2.7410 1.4888 As
4.8516 2.5466 0.0000 Pt
3.0490 -0.2367 1.4870 La
10.0435 5.2719 0.0000 La

---

Record 18
TbCePu2 GGA-PBE optimized geometry; energy of formation from the pure elements = 0.182 eV per atom
1.0
4.7358 0.0000 0.0000
0.0000 4.8640 0.0000
0.0000 0.0000 4.8640
Ce Tb Pu
1 1 2
Cartesian
2.3679 0.0000 0.0000 Ce
2.3679 2.4320 2.4320 Tb
0.0000 0.0000 2.4320 Pu
0.0000 2.4320 0.0000 Pu

---

Record 19
Nd2Np3N8 GGA-PBE optimized geometry; ΔE_f (raw) = -1043 meV per atom
1.0
6.9232 0.0000 0.0000
-3.4616 5.9958 0.0000
0.0000 0.0000 10.3620
Np Nd N
6 4 16
Cartesian
-1.7386 5.0009 2.5384 Np
1.7386 5.0009 2.5384 Np
3.4616 4.0061 7.7194 Np
0.0000 1.9896 2.5384 Np
5.2002 0.9949 7.7194 Np
1.7231 0.9948 7.7194 Np
0.0000 3.9972 5.5451 Nd
3.4616 1.9986 0.3640 Nd
3.4616 1.9986 4.0061 Nd
0.0000 3.9972 9.1871 Nd
0.0000 0.0000 8.6454 N
1.7864 5.0285 6.9012 N
4.8888 2.8226 8.8619 N
0.0000 5.6452 3.6809 N
3.4616 4.0613 1.7201 N
-1.7864 5.0285 6.9012 N
0.0000 1.9344 6.9011 N
-1.4272 3.1732 3.6809 N
3.4616 0.3505 8.8619 N
2.0344 2.8226 8.8619 N
3.4616 1.9986 6.6198 N
1.6752 0.9673 1.7201 N
1.4272 3.1732 3.6809 N
5.2480 0.9673 1.7201 N
0.0000 3.9972 1.4388 N
3.4616 5.9957 3.4644 N

---

Record 20
LiSbPt2 GGA-PBE optimized geometry; ΔE_f (raw) = -135 meV per atom
1.0
-5.5917 2.4754 -0.1833
2.2092 -5.6829 -0.5027
4.8622 -2.2918 2.9215
Li Sb Pt
1 1 2
Cartesian
0.0000 0.0000 0.0000 Li
3.5357 -3.9873 1.2094 Sb
5.2951 -5.9715 1.8112 Pt
1.7763 -2.0032 0.6076 Pt

---

Record 21
HgTeSe GGA-PBE optimized geometry; ΔE_f (raw) = 96 meV per atom
1.0
7.8170 -0.0907 0.0000
5.9949 5.0175 0.0000
-6.9060 -2.4634 2.7117
Hg Se Te
1 1 1
Cartesian
0.0207 0.0074 0.0000 Hg
3.8341 1.3676 0.0000 Se
9.9572 3.5517 0.0000 Te

---

Record 22
Ba12In3S5 GGA-PBE optimized geometry; ΔE_f (raw) = -1031 meV per atom
1.0
16.9869 0.0000 0.0000
-5.6623 16.0154 0.0000
-5.6623 -8.0077 13.8697
Ba In S
48 12 20
Cartesian
6.9799 -1.2918 8.1252 Ba
7.7800 7.9654 2.4539 Ba
4.1488 6.7159 5.7446 Ba
-0.7134 10.1540 1.1903 Ba
0.7458 10.0291 9.3887 Ba
7.7477 8.8952 7.4248 Ba
-5.5207 6.2658 13.3798 Ba
-3.5769 9.1416 10.9259 Ba
8.6351 14.2735 0.4900 Ba
2.1177 2.1463 12.6794 Ba
11.1830 1.7419 0.4900 Ba
6.3757 2.1040 12.6062 Ba
3.5446 10.1117 1.2636 Ba
-4.3447 13.6286 1.7535 Ba
3.5769 2.0214 4.4810 Ba
-0.7134 5.9037 1.2636 Ba
2.0854 5.9864 9.3887 Ba
-2.9728 -6.2658 13.3798 Ba
4.9165 -2.0214 4.4810 Ba
-2.0854 -0.8875 6.4449 Ba
9.2392 -1.1339 2.9438 Ba
12.6422 3.6787 3.9910 Ba
6.3757 -2.1463 12.6794 Ba
-1.5135 -4.3290 9.8787 Ba
-5.8039 11.5649 5.1814 Ba
11.4662 -3.5572 8.6884 Ba
-0.7458 1.1339 2.9438 Ba
6.4081 6.8738 10.9259 Ba
0.1416 5.2991 5.6713 Ba
7.1758 12.3367 3.9910 Ba
3.5446 5.8614 1.1903 Ba
-2.1177 0.0423 11.4159 Ba
10.5788 0.8875 6.4449 Ba
5.5207 2.7086 8.1985 Ba
-4.9165 7.1202 7.4248 Ba
-1.5135 5.6209 12.1162 Ba
1.5135 1.2918 8.1252 Ba
2.9728 -2.7086 8.1985 Ba
7.1758 2.3868 1.7535 Ba
-1.3176 9.2995 5.7446 Ba
-6.3757 -0.0423 11.4159 Ba
12.0380 8.0500 2.4539 Ba
2.6895 10.7163 5.6713 Ba
8.6351 4.4505 5.1814 Ba
10.0070 -5.6209 12.1162 Ba
2.1177 -2.1040 12.6062 Ba
-6.9799 4.3290 9.8787 Ba
-2.9728 3.5572 8.6884 Ba
12.7402 0.0000 3.4674 In
9.9090 5.0048 1.7337 In
-4.2467 -3.0029 12.1360 In
-1.4156 7.0067 8.6686 In
4.2467 0.0000 10.4023 In
-4.2467 3.0029 12.1360 In
1.4156 8.0077 3.4674 In
1.4156 -1.0010 5.2012 In
-7.0779 8.0077 10.4023 In
7.0779 1.0010 5.2012 In
4.2467 9.0087 8.6686 In
9.9090 11.0106 1.7337 In
-2.8312 -4.0039 6.9349 S
7.0779 7.0067 5.2012 S
4.2467 12.0116 3.4674 S
-1.4156 4.0039 3.4674 S
-1.4156 1.0010 8.6686 S
1.4156 5.0048 12.1360 S
1.4156 -4.0039 10.4023 S
-1.4156 13.0125 1.7337 S
-4.2467 9.0087 5.2012 S
5.6623 -4.0039 6.9349 S
8.4935 0.0000 0.0000 S
4.2467 3.0029 1.7337 S
5.6623 8.0077 0.0000 S
7.0779 4.0039 10.4023 S
0.0000 0.0000 0.0000 S
7.0779 -5.0048 12.1360 S
-2.8312 8.0077 0.0000 S
-5.6623 4.0039 6.9349 S
2.8312 4.0039 6.9349 S
9.9090 -1.0010 8.6686 S